DFT (PBE) results for crystalline Bi2RhPb8 at its relaxed geometry.

a b c (Å): 9.058 9.058 4.950
angles (deg): 105.39 105.39 61.76
Atoms (fractional coordinates):
Bi 0.184 0.184 0.186
Bi 0.816 0.816 0.814
Rh 0.500 0.500 0.500
Pb 0.108 0.589 0.350
Pb 0.213 0.787 0.000
Pb 0.374 0.374 0.875
Pb 0.411 0.892 0.650
Pb 0.589 0.108 0.350
Pb 0.626 0.626 0.125
Pb 0.787 0.213 0.000
Pb 0.892 0.411 0.650

Properties
calculated volume	30.932	A^3/atom
size of the total moment	0.00	μB per formula unit
relative energy among the computed polymorphs	43	meV per atom
total DFT energy (no corrections)	-3.985	eV/atom
Fermi-level density of states	0.559	states/eV/atom
energy of formation	8	kJ per mole of atoms

DFT (PBE) results for crystalline BiRhPb2 at its relaxed geometry.

a b c (Å): 10.572 10.572 10.572
angles (deg): 19.01 19.01 19.01
Atoms (fractional coordinates):
Bi 0.000 0.000 0.000
Rh 0.500 0.500 0.500
Pb 0.104 0.104 0.104
Pb 0.896 0.896 0.896

Properties
calculated volume	27.402	A^3/atom
size of the total moment	0.00	μB per formula unit
total DFT energy (no corrections)	-4.581	eV/atom
Fermi-level density of states	0.920	states/eV/atom
energy of formation	8	kJ per mole of atoms

DFT (PBE) results for crystalline Bi2Rh2Pb7 at its relaxed geometry.

a b c (Å): 7.302 7.302 7.307
angles (deg): 95.81 95.81 113.30
Atoms (fractional coordinates):
Bi 0.149 0.851 0.000
Bi 0.851 0.149 0.000
Rh 0.180 0.180 0.266
Rh 0.820 0.820 0.734
Pb 0.105 0.540 0.311
Pb 0.159 0.159 0.674
Pb 0.460 0.895 0.689
Pb 0.500 0.500 0.500
Pb 0.540 0.105 0.311
Pb 0.841 0.841 0.326
Pb 0.895 0.460 0.689

Properties
calculated volume	31.976	A^3/atom
size of the total moment	0.00	μB per formula unit
total DFT energy (no corrections)	-4.273	eV/atom
Fermi-level density of states	0.625	states/eV/atom
energy of formation	12	kJ per mole of atoms

DFT (PBE) results for crystalline BiRhPb2 at its relaxed geometry.

a b c (Å): 6.280 6.378 10.667
angles (deg): 90.00 90.00 90.00
Atoms (fractional coordinates):
Bi 0.048 0.250 0.250
Bi 0.452 0.750 0.250
Bi 0.548 0.250 0.750
Bi 0.952 0.750 0.750
Rh 0.250 0.000 0.074
Rh 0.250 0.500 0.426
Rh 0.750 0.000 0.926
Rh 0.750 0.500 0.574
Pb 0.072 0.208 0.591
Pb 0.072 0.292 0.909
Pb 0.428 0.708 0.909
Pb 0.428 0.792 0.591
Pb 0.572 0.208 0.409
Pb 0.572 0.292 0.091
Pb 0.928 0.708 0.091
Pb 0.928 0.792 0.409

Properties
calculated volume	26.705	A^3/atom
size of the total moment	0.00	μB per formula unit
total DFT energy (no corrections)	-4.676	eV/atom
Fermi-level density of states	0.554	states/eV/atom
energy of formation	-1	kJ per mole of atoms

DFT (PBE) results for crystalline BiRhPb2 at its relaxed geometry.

a b c (Å): 3.391 3.391 8.877
angles (deg): 90.00 90.00 90.00
Atoms (fractional coordinates):
Bi 0.000 0.000 0.000
Rh 0.000 0.000 0.500
Pb 0.500 0.500 0.309
Pb 0.500 0.500 0.691

Properties
calculated volume	25.519	A^3/atom
size of the total moment	0.00	μB per formula unit
total DFT energy (no corrections)	-4.630	eV/atom
Fermi-level density of states	0.647	states/eV/atom
energy of formation	3	kJ per mole of atoms

DFT (PBE) results for crystalline BiRh3Pb3 at its relaxed geometry.

a b c (Å): 7.235 7.235 7.235
angles (deg): 70.05 70.05 70.05
Atoms (fractional coordinates):
Bi 0.168 0.168 0.168
Bi 0.832 0.832 0.832
Rh 0.095 0.797 0.459
Rh 0.203 0.541 0.905
Rh 0.459 0.095 0.797
Rh 0.541 0.905 0.203
Rh 0.797 0.459 0.095
Rh 0.905 0.203 0.541
Pb 0.136 0.366 0.656
Pb 0.344 0.864 0.634
Pb 0.366 0.656 0.136
Pb 0.634 0.344 0.864
Pb 0.656 0.136 0.366
Pb 0.864 0.634 0.344

Properties
calculated volume	23.116	A^3/atom
size of the total moment	0.00	μB per formula unit
total DFT energy (no corrections)	-5.300	eV/atom
Fermi-level density of states	0.428	states/eV/atom
energy of formation	-1	kJ per mole of atoms

DFT (PBE) results for crystalline Bi5Rh3Pb at its relaxed geometry.

a b c (Å): 7.513 7.513 10.139
angles (deg): 110.79 110.79 75.17
Atoms (fractional coordinates):
Bi 0.064 0.064 0.369
Bi 0.104 0.531 0.373
Bi 0.200 0.800 0.000
Bi 0.260 0.260 0.979
Bi 0.469 0.896 0.627
Bi 0.531 0.104 0.373
Bi 0.740 0.740 0.021
Bi 0.800 0.200 0.000
Bi 0.896 0.469 0.627
Bi 0.936 0.936 0.631
Rh 0.173 0.173 0.183
Rh 0.179 0.179 0.689
Rh 0.500 0.500 0.000
Rh 0.500 0.500 0.500
Rh 0.821 0.821 0.311
Rh 0.827 0.827 0.817
Pb 0.418 0.418 0.706
Pb 0.582 0.582 0.294

Properties
calculated volume	27.480	A^3/atom
size of the total moment	0.00	μB per formula unit
total DFT energy (no corrections)	-5.051	eV/atom
Fermi-level density of states	0.581	states/eV/atom
energy of formation	-3	kJ per mole of atoms

DFT (PBE) results for crystalline BiRh4Pb3 at its relaxed geometry.

a b c (Å): 6.566 6.566 6.566
angles (deg): 131.48 85.20 114.92
Atoms (fractional coordinates):
Bi 0.000 0.000 0.000
Rh 0.372 0.109 0.263
Rh 0.671 0.414 0.743
Rh 0.671 0.927 0.257
Rh 0.846 0.109 0.737
Pb 0.266 0.492 0.774
Pb 0.316 0.816 0.500
Pb 0.718 0.492 0.226

Properties
calculated volume	23.024	A^3/atom
size of the total moment	0.00	μB per formula unit
total DFT energy (no corrections)	-5.442	eV/atom
Fermi-level density of states	0.492	states/eV/atom
energy of formation	11	kJ per mole of atoms